Entry from Alexandria via LeMat-Bulk: TbPa5As6 after structural relaxation (GGA-PBE).

```
TbPa5As6
1.0
-5.663 2.039 -3.759
-1.914 -5.217 -4.417
-4.662 -4.916 2.123
As Pa Tb
6 5 1
direct
0.750 0.417 0.666 As
0.249 0.251 0.000 As
0.250 0.917 0.666 As
0.751 0.749 0.000 As
0.250 0.583 0.334 As
0.750 0.083 0.334 As
0.000 0.667 0.666 Pa
0.000 0.333 0.334 Pa
0.500 0.500 0.000 Pa
0.500 0.835 0.331 Pa
0.500 0.165 0.669 Pa
0.000 0.000 0.000 Tb
```

Calculated values
VASP energy	-93.6	eV/cell